VASP calculation (GGA-PBE) on an optimized crystal structure of TmPuIn.

Unit cell a=5.3793 b=5.3793 c=6.3893 alpha=90.00 beta=90.00 gamma=120.00
Closest atoms and distances in Å follow each position.
Sites, in units of the cell vectors:
Tm1 0.3333 0.6667 0.2500  5 In 3.11-3.19
Tm2 0.6667 0.3333 0.7500  5 In 3.11-3.19
Pu1 0.0000 0.0000 0.0000  2 Pu 3.19, 6 In 3.49, 6 Tm 3.49
Pu2 0.0000 0.0000 0.5000  2 Pu 3.19, 6 In 3.49, 6 Tm 3.49
In1 0.3333 0.6667 0.7500  5 Tm 3.11-3.19
In2 0.6667 0.3333 0.2500  5 Tm 3.11-3.19

Summary:
Offset from the most stable computed form, eV per atom: 0.000
Energy of formation from the pure elements, eV/atom: -0.221
Symmetry: P6_3/mmc, No. 194
DOS(E_F), states/eV/f.u.: 6.19